Entry 1:
Here is an optimized crystal structure of Ce4ZnI5 from Alexandria via LeMat-Bulk. Energies are from PBE.

Results
**Crystal system**: monoclinic
**Formation energy (no corrections)**: -0.9108 eV per atom

```
Ce4ZnI5
1.0
4.0881 0.0000 -1.1241
-1.0990 8.2191 -3.9968
1.0631 -2.2566 11.8617
I Ce Zn
5 4 1
direct
0.1698 0.5315 0.3396
0.8302 0.4685 0.6604
0.5000 0.5000 0.0000
0.1687 0.0009 0.3374
0.8313 0.9991 0.6626
0.6593 0.2493 0.3187
0.9992 0.2212 0.9984
0.3407 0.7507 0.6813
0.0008 0.7788 0.0016
0.5000 0.0000 0.0000
```

Entry 2:
Here is an optimized crystal structure of FeCoRh2 from Alexandria via LeMat-Bulk. Energies are from PBE.

Results
**E_form**: 18 meV/atom
**Crystal system**: tetragonal

```
FeCoRh2
1.0
4.5880 0.0002 0.0000
1.5895 4.3038 0.0000
-3.0887 -2.1520 2.6226
Co Rh Fe
1 2 1
direct
0.5000 0.5000 0.0000
0.0000 0.0000 0.0000
0.2500 0.7500 0.5000
0.7500 0.2500 0.5000
```

Entry 3:
Here is an optimized crystal structure of BeHSe from Alexandria via LeMat-Bulk. Energies are from PBE.

Results
**Crystal system**: monoclinic
**ΔE to the lowest computed polymorph**: 0.154 eV per atom

```
BeHSe
1.0
-5.3563 1.1357 -5.0877
2.0391 -1.6729 -2.5202
-1.9110 -6.3008 2.6363
Be H Se
4 4 4
direct
0.2891 0.0000 0.2140
0.5163 0.5000 0.9761
0.5163 0.0000 0.4761
0.2891 0.5000 0.7140
0.3236 0.5000 0.9164
0.0313 0.0000 0.8085
0.3236 0.0000 0.4164
0.0313 0.5000 0.3085
0.5810 0.0000 0.1598
0.1146 0.0000 0.6340
0.1146 0.5000 0.1340
0.5810 0.5000 0.6598
```

Entry 4:
Here is an optimized crystal structure of CuIr2 from Alexandria via LeMat-Bulk. Energies are from PBE.

Results
**E_form**: 61 meV/atom
**Crystal system**: trigonal
**ΔE to the lowest computed polymorph**: 0.000 eV per atom

```
CuIr2
1.0
-1.2550 -2.4040 -0.1307
2.6448 0.1197 0.6019
-1.4611 0.4183 6.3367
Ir Cu
2 1
direct
0.6667 0.3333 0.3308
0.3333 0.6667 0.6692
0.0000 0.0000 0.0000
```

Entry 5:
Here is an optimized crystal structure of BeZnCl2 from Alexandria via LeMat-Bulk. Energies are from PBE.

Results
**Crystal system**: trigonal
**Formation energy (no corrections)**: -0.5421 eV per atom
**ΔE to the lowest computed polymorph**: 0.118 eV per atom

```
BeZnCl2
1.0
-3.6837 1.7478 10.0026
-4.6250 -2.4128 9.4586
-0.6790 -1.2466 10.7080
Zn Be Cl
1 1 2
direct
0.5000 0.5000 0.5000
0.0000 0.0000 0.0000
0.9432 0.9432 0.9432
0.0568 0.0568 0.0568
```

Entry 6:
Here is an optimized crystal structure of BaSn2HPd from Alexandria via LeMat-Bulk. Energies are from PBE.

Results
**Calculated total energy**: -18.46 eV for the cell shown
**Crystal system**: tetragonal

```
BaSn2HPd
1.0
-0.1725 -3.4824 3.6048
-2.6520 -4.3723 -4.3508
4.6040 -1.5356 -1.2632
Ba H Sn Pd
1 1 2 1
direct
0.0000 0.5000 0.0000
0.5000 0.5000 0.5000
0.5000 0.0000 0.0000
0.0000 0.0000 0.5000
0.0000 0.0000 0.0000
```

Entry 7:
Here is an optimized crystal structure of ScTl4Cd from Alexandria via LeMat-Bulk. Energies are from PBE.

Results
**E_form**: 261 meV/atom
**Crystal system**: cubic

```
ScTl4Cd
1.0
5.7544 1.2091 2.1980
0.9276 4.8619 3.8610
1.3234 -1.0070 6.0531
Tl Cd Sc
4 1 1
direct
0.3749 0.3749 0.3749
0.3749 0.8753 0.3749
0.8753 0.3749 0.3749
0.3749 0.3749 0.8753
0.7500 0.7500 0.7500
0.0000 0.0000 0.0000
```

Entry 8:
Here is an optimized crystal structure of CaPm2Sm3As6 from Alexandria via LeMat-Bulk. Energies are from PBE.

Results
**E_form**: -1420 meV/atom
**Crystal system**: monoclinic

```
CaPm2Sm3As6
1.0
4.2291 0.0000 0.0000
0.0000 8.4570 0.3025
-2.1145 -2.4371 8.9004
Sm As Pm Ca
3 6 2 1
direct
0.1660 0.8345 0.3319
0.8340 0.1655 0.6681
0.5000 0.5000 0.0000
0.6667 0.5839 0.3334
0.6682 0.0836 0.3363
0.3333 0.4161 0.6666
0.3318 0.9164 0.6637
0.9997 0.2546 0.9994
0.0003 0.7454 0.0006
0.8340 0.6686 0.6680
0.1660 0.3314 0.3320
0.5000 0.0000 0.0000
```

Entry 9:
Here is an optimized crystal structure of Nd8TlTe4As3 from Alexandria via LeMat-Bulk. Energies are from PBE.

Results
**Crystal system**: trigonal
**Formation energy (no corrections)**: -1.3687 eV per atom

```
Nd8TlTe4As3
1.0
8.8004 0.0000 0.0000
0.0000 8.8975 0.0625
-4.4002 -4.3960 6.2258
Nd Te Tl As
8 4 1 3
direct
0.2473 0.7304 0.9831
0.7527 0.2696 0.5054
0.7402 0.7206 0.4804
0.2598 0.2794 0.5196
0.2473 0.7304 0.4946
0.7359 0.7304 0.9831
0.7527 0.2696 0.0169
0.2641 0.2696 0.0169
0.0000 0.0000 0.5000
0.5000 0.0000 0.5000
0.5000 0.0000 0.0000
0.0000 0.0000 0.0000
0.0000 0.5000 0.0000
0.0000 0.5000 0.5000
0.5000 0.5000 0.5000
0.5000 0.5000 0.0000
```

Entry 10:
Here is an optimized crystal structure of TaHgTe3 from Alexandria via LeMat-Bulk. Energies are from PBE.

Results
**Crystal system**: cubic
**Formation energy (no corrections)**: 0.1201 eV per atom
**ΔE to the lowest computed polymorph**: 0.235 eV per atom

```
TaHgTe3
1.0
-4.3367 3.2729 -0.3979
-2.2169 -3.3813 -3.6509
-2.4404 -2.7445 4.0236
Ta Te Hg
1 3 1
direct
0.0000 0.0000 0.0000
0.5000 0.0000 0.0000
0.0000 0.0000 0.5000
0.0000 0.5000 0.0000
0.5000 0.5000 0.5000
```

Entry 11:
Here is an optimized crystal structure of TcTeHN2 from Alexandria via LeMat-Bulk. Energies are from PBE.

Results
**Crystal system**: tetragonal
**ΔE to the lowest computed polymorph**: 1.133 eV per atom

```
TcTeHN2
1.0
4.0599 0.0000 0.0000
0.0000 4.0599 0.0000
0.0000 0.0000 3.3044
N Te H Tc
2 1 1 1
direct
0.0000 0.5000 0.0000
0.5000 0.0000 0.0000
0.0000 0.0000 0.5000
0.0000 0.0000 0.0000
0.5000 0.5000 0.5000
```

Entry 12:
Here is an optimized crystal structure of Tb4Dy3Mg from Alexandria via LeMat-Bulk. Energies are from PBE.

Results
**E_form**: 218 meV/atom
**Crystal system**: monoclinic
**ΔE to the lowest computed polymorph**: 0.213 eV per atom

```
Tb4Dy3Mg
1.0
-2.4472 -1.0335 -2.1041
1.5959 -5.5643 0.8770
-7.2024 0.9470 10.6407
Dy Tb Mg
3 4 1
direct
0.0000 0.5000 0.0000
0.8505 0.2847 0.7010
0.1495 0.7153 0.2990
0.2822 0.7623 0.5643
0.1016 0.1957 0.2033
0.8984 0.8043 0.7967
0.7178 0.2377 0.4357
0.5000 0.0000 0.0000
```

Theoretical density across the listed records, respectively: 5.676; 10.280; 3.116; 17.882; 1.433; 4.741; 9.255; 6.358; 7.096; 7.851; 7.763; 7.557 g/cm3.